[1]
SrLa3Ru PBE relaxed; energy above the lowest structure with this stoichiometry = 128 meV per atom
1.0
9.908 -1.917 0.000
9.908 1.917 0.000
-1.278 0.000 9.017
Sr La Ru
2 6 2
Direct
0.206 0.206 0.314
0.794 0.794 0.686
0.022 0.022 0.197
0.160 0.160 0.916
0.414 0.414 0.424
0.586 0.586 0.576
0.840 0.840 0.084
0.978 0.978 0.803
0.416 0.416 0.972
0.584 0.584 0.028

---

[2]
SrAs2Au4 PBE relaxed; uncorrected energy = -52.9 eV for the cell shown
1.0
8.265 0.000 0.000
0.000 8.265 0.000
0.000 0.000 4.367
Sr As Au
2 4 8
Direct
0.000 0.000 0.000
0.500 0.500 0.500
0.228 0.228 0.500
0.272 0.728 0.000
0.728 0.272 0.000
0.772 0.772 0.500
0.071 0.675 0.500
0.175 0.429 0.000
0.325 0.929 0.500
0.429 0.175 0.000
0.571 0.825 0.000
0.675 0.071 0.500
0.825 0.571 0.000
0.929 0.325 0.500

---

[3]
Cs3BeSb2 PBE relaxed; uncorrected energy = -31.6 eV for the cell shown
1.0
5.752 -5.236 0.000
5.752 5.236 0.000
-4.285 0.000 10.004
Cs Be Sb
6 2 4
Direct
0.155 0.845 0.750
0.255 0.352 0.021
0.352 0.255 0.521
0.648 0.745 0.479
0.745 0.648 0.979
0.845 0.155 0.250
0.211 0.789 0.250
0.789 0.211 0.750
0.082 0.644 0.353
0.356 0.918 0.147
0.644 0.082 0.853
0.918 0.356 0.647

---

[4]
InMo2Br PBE relaxed; energy above the lowest structure with this stoichiometry = 155 meV per atom
1.0
6.609 -1.641 0.000
6.609 1.641 0.000
-0.782 0.000 4.765
In Mo Br
1 2 1
Direct
0.000 0.000 0.000
0.522 0.522 0.516
0.887 0.887 0.447
0.231 0.231 0.575

---

[5]
InIr3 PBE relaxed; uncorrected energy = -28.4 eV for the cell shown
1.0
-1.399 2.381 4.863
1.399 -2.381 4.863
1.399 2.381 -4.863
In Ir
1 3
Direct
0.000 0.000 0.000
0.265 0.765 0.500
0.500 0.500 0.000
0.735 0.235 0.500

---

[6]
RbCaMn2Cr PBE relaxed; uncorrected energy = -26.5 eV for the cell shown
1.0
4.908 0.000 0.000
0.000 4.908 0.000
0.000 0.000 5.695
Rb Ca Mn Cr
1 1 2 1
Direct
0.000 0.000 0.000
0.500 0.500 0.000
0.000 0.500 0.500
0.500 0.000 0.500
0.500 0.500 0.500